one | Here is a geometry-optimized Fe4Co3 structure from Alexandria. Energies are from PBE-GGA.

The structure belongs to space group Fmm2 (No. 42); the cell edges are 2.8395, 4.0238 and 28.0431 Å and the angles 90.00°, 90.00° and 90.00°. The asymmetric unit holds Fe at (0.0000, 0.0000, 0.0000), Fe at (0.0000, 0.0000, 0.1425), Fe at (0.0000, 0.0000, 0.2876), Fe at (0.0000, 0.0000, 0.7150), Co at (0.0000, 0.0000, 0.4294), Co at (0.0000, 0.0000, 0.5712) and Co at (0.0000, 0.0000, 0.8584).

As for the density of states at the Fermi level: 27.33 states/eV per cell.

---

two | Here is a geometry-optimized Fe4Co3 structure from Alexandria. Energies are from PBE-GGA.

The structure belongs to space group Cm (No. 8); the cell edges are 16.3227, 4.0031 and 2.4670 Å and the angles 90.00°, 96.00° and 90.00°. The asymmetric unit holds Fe at (0.0000, 0.0000, 0.0000), Fe at (0.0718, 0.5000, 0.7138), Fe at (0.2155, 0.5000, 0.1526), Fe at (0.4271, 0.0000, 0.2898), Co at (0.1428, 0.0000, 0.4291), Co at (0.2849, 0.0000, 0.8810) and Co at (0.3575, 0.5000, 0.5680).

As for the density of states at the Fermi level: 11.34 states/eV per cell.

---

two is favored, and the nearest alternative lies 12 meV per atom above it.

---

one | Here is a geometry-optimized Fe4Co3 structure from Alexandria. Energies are from PBE-GGA.

The structure belongs to space group Fmmm (No. 69); the cell edges are 2.8369, 4.0350 and 28.0710 Å and the angles 90.00°, 90.00° and 90.00°. The asymmetric unit holds Fe at (0.0000, 0.0000, 0.0712), Fe at (0.0000, 0.0000, 0.3564), Co at (0.0000, 0.0000, 0.2145) and Co at (0.0000, 0.0000, 0.5000).

As for the density of states at the Fermi level: 25.40 states/eV per cell.

---

two | Here is a geometry-optimized Fe4Co3 structure from Alexandria. Energies are from PBE-GGA.

The structure belongs to space group I4/mmm (No. 139); the cell edges are 2.4939, 2.4939 and 25.0030 Å and the angles 90.00°, 90.00° and 90.00°. The asymmetric unit holds Fe at (0.0000, 0.0000, 0.0701), Fe at (0.0000, 0.0000, 0.3571), Co at (0.0000, 0.0000, 0.2163) and Co at (0.0000, 0.0000, 0.5000).

As for the density of states at the Fermi level: 13.27 states/eV per cell.

---

one is favored, and the nearest alternative lies 49 meV per atom above it.